(1)
# Dy6Y2HoEr3 (PBE, optimized geometry)
# - Energy of formation from the pure elements: 0.020 eV per atom
data_Dy6Y2HoEr3
_symmetry_space_group_name_H-M 'P 1'
_symmetry_Int_Tables_number 1
_cell_length_a 6.123
_cell_length_b 6.123
_cell_length_c 11.716
_cell_angle_alpha 94.98
_cell_angle_beta 94.98
_cell_angle_gamma 119.94
loop_
_symmetry_equiv_pos_as_xyz
'x,y,z'
loop_
_atom_site_label
_atom_site_type_symbol
_atom_site_fract_x
_atom_site_fract_y
_atom_site_fract_z
Dy1 Dy 0.916 0.583 0.748
Dy2 Dy 0.752 0.752 0.252
Dy3 Dy 0.084 0.417 0.252
Dy4 Dy 0.583 0.916 0.748
Dy5 Dy 0.248 0.248 0.748
Dy6 Dy 0.417 0.084 0.252
Y1 Y 0.333 0.667 0.000
Y2 Y 0.667 0.333 0.000
Ho1 Ho 0.000 0.000 0.000
Er1 Er 0.167 0.833 0.500
Er2 Er 0.833 0.167 0.500
Er3 Er 0.500 0.500 0.500

(2)
# Dy5YHo2Er (PBE, optimized geometry)
# - Energy of formation from the pure elements: 0.161 eV per atom
data_Dy5YHo2Er
_symmetry_space_group_name_H-M 'P 1'
_symmetry_Int_Tables_number 1
_cell_length_a 5.575
_cell_length_b 10.300
_cell_length_c 10.516
_cell_angle_alpha 90.00
_cell_angle_beta 90.00
_cell_angle_gamma 105.70
loop_
_symmetry_equiv_pos_as_xyz
'x,y,z'
loop_
_atom_site_label
_atom_site_type_symbol
_atom_site_fract_x
_atom_site_fract_y
_atom_site_fract_z
Dy1 Dy 0.388 0.776 0.023
Dy2 Dy 0.720 0.439 0.810
Dy3 Dy 0.479 0.959 0.739
Dy4 Dy 0.300 0.600 0.709
Dy5 Dy 0.982 0.965 0.522
Dy6 Dy 0.612 0.224 0.523
Dy7 Dy 0.280 0.561 0.310
Dy8 Dy 0.521 0.041 0.239
Dy9 Dy 0.700 0.400 0.209
Dy10 Dy 0.018 0.035 0.022
Y1 Y 0.588 0.176 0.956
Y2 Y 0.412 0.824 0.456
Ho1 Ho 0.887 0.774 0.816
Ho2 Ho 0.111 0.221 0.737
Ho3 Ho 0.113 0.226 0.316
Ho4 Ho 0.889 0.779 0.237
Er1 Er 0.801 0.601 0.512
Er2 Er 0.199 0.399 0.012